The following is a PBE-GGA calculation of Li4InBi5 after structural relaxation, from Alexandria.

Cell lengths 3.3680, 3.3680, 22.3659 Å; angles 90.00, 90.00, 90.00 degrees
With the nearest neighbours (Å) after each atom.
Element x y z (fractional)
Bi: 0.5000 0.5000 0.8750  4 Li 3.16, 4 Bi 3.37
Li: 0.0000 0.0000 0.4060  8 Bi 3.18-3.19, 4 Li 3.37
Bi: 0.5000 0.5000 0.1250  4 Li 3.16, 4 Bi 3.37
Li: 0.0000 0.0000 0.2179  8 Bi 3.16-3.17, 4 Li 3.37
Bi: 0.5000 0.5000 0.3113  8 Li 3.17-3.19, 4 Bi 3.37
In: 0.0000 0.0000 0.0000  4 In 3.37, 8 Bi 3.67
Li: 0.0000 0.0000 0.7821  8 Bi 3.16-3.17, 4 Li 3.37
Li: 0.0000 0.0000 0.5940  8 Bi 3.18-3.19, 4 Li 3.37
Bi: 0.5000 0.5000 0.6887  8 Li 3.17-3.19, 4 Bi 3.37
Bi: 0.5000 0.5000 0.5000  8 Li 3.18, 4 Bi 3.37

**VASP energy**: -32.70 eV/cell
**Energy relative to the elements**: -0.29 eV/atom
**Theoretical density**: 7.77 g cm⁻³

***

The following is a PBE-GGA calculation of HfMn4Ge after structural relaxation, from Alexandria.

Cell lengths 4.8157, 4.8157, 4.8157 Å; angles 60.00, 60.00, 60.00 degrees
With the nearest neighbours (Å) after each atom.
Element x y z (fractional)
Mn: 0.6265 0.6265 0.6265  6 Mn 2.38-2.44
Hf: 0.2500 0.2500 0.2500  12 Mn 2.83, 4 Ge 2.95
Mn: 0.6265 0.1205 0.6265  6 Mn 2.38-2.44
Mn: 0.1205 0.6265 0.6265  6 Mn 2.38-2.44
Mn: 0.6265 0.6265 0.1205  6 Mn 2.38-2.44
Ge: 0.0000 0.0000 0.0000  12 Mn 2.82, 4 Hf 2.95

**VASP energy**: -51.67 eV/cell
**Energy relative to the elements**: -0.07 eV/atom
**Theoretical density**: 9.90 g cm⁻³

***

The following is a PBE-GGA calculation of KInGaSn after structural relaxation, from Alexandria.

Cell lengths 5.4336, 5.4336, 5.4336 Å; angles 60.00, 60.00, 60.00 degrees
With the nearest neighbours (Å) after each atom.
Element x y z (fractional)
Sn: 0.5000 0.5000 0.5000  4 In 3.33, 4 Ga 3.33
In: 0.7500 0.7500 0.7500  4 Sn 3.33, 4 K 3.33
K: 0.0000 0.0000 0.0000  4 Ga 3.33, 4 In 3.33
Ga: 0.2500 0.2500 0.2500  4 Sn 3.33, 4 K 3.33

**VASP energy**: -10.79 eV/cell
**Energy relative to the elements**: 0.02 eV/atom
**Theoretical density**: 5.01 g cm⁻³

***

The following is a PBE-GGA calculation of BCl3F4 after structural relaxation, from Alexandria.

Cell lengths 7.7844, 6.2122, 7.1208 Å; angles 93.34, 101.21, 103.02 degrees
With the nearest neighbours (Å) after each atom.
Element x y z (fractional)
Cl: 0.4222 0.0078 0.5732  1 Cl 2.02
Cl: 0.6953 0.0283 0.2253  1 Cl 2.03
F: 0.9495 0.7120 0.7278  1 B 1.47
F: 0.8804 0.0134 0.8773  1 B 1.41
Cl: 0.9492 0.4920 0.4272  1 Cl 2.02
Cl: 0.9198 0.2594 0.2060  2 Cl 2.02-2.03
F: 0.4902 0.4869 0.1218  1 B 1.41
F: 0.1912 0.4991 0.1001  1 B 1.41
F: 0.1797 0.0014 0.9003  1 B 1.41
F: 0.0101 0.0548 0.6098  1 B 1.39
Cl: 0.4514 0.2406 0.7942  2 Cl 2.02-2.03
B: 0.3644 0.5459 0.2209  4 F 1.39-1.47
F: 0.4219 0.7879 0.2725  1 B 1.47
F: 0.3615 0.4446 0.3898  1 B 1.39
Cl: 0.6759 0.4717 0.7749  1 Cl 2.03
B: 0.0067 0.9541 0.7789  4 F 1.39-1.47

**VASP energy**: -63.73 eV/cell
**Theoretical density**: 1.96 g cm⁻³
**Formation energy (no corrections)**: -1.520 eV per atom

***

The following is a PBE-GGA calculation of AlSi2Se after structural relaxation, from Alexandria.

Cell lengths 11.0107, 11.0107, 11.0107 Å; angles 14.30, 14.30, 14.30 degrees
With the nearest neighbours (Å) after each atom.
Element x y z (fractional)
Si: 0.5112 0.5112 0.5112  6 Si 2.74, 3 Al 2.84
Al: 0.2500 0.2500 0.2500  6 Al 2.74, 6 Si 2.84
Se: 0.7500 0.7500 0.7500  6 Se 2.74
Si: 0.9888 0.9888 0.9888  6 Si 2.74, 3 Al 2.84

**VASP energy**: -16.34 eV/cell
**ΔE to the lowest computed polymorph**: 469 meV per atom
**Theoretical density**: 3.80 g cm⁻³
**Formation energy (no corrections)**: 0.432 eV per atom

***

The following is a PBE-GGA calculation of Tm10Ga3Te3 after structural relaxation, from Alexandria.

Cell lengths 6.2641, 8.6706, 8.6706 Å; angles 120.00, 90.00, 90.00 degrees
With the nearest neighbours (Å) after each atom.
Element x y z (fractional)
Tm: 0.5000 0.0000 0.7609  3 Ga 2.96-3.21
Tm: 0.2585 0.3333 0.6667  2 Tm 3.03-3.24, 3 Ga 3.07, 3 Te 3.12
Te: 0.0000 0.3938 0.3938  7 Tm 2.98-3.17
Tm: 0.2585 0.6667 0.3333  2 Tm 3.03-3.24, 3 Ga 3.07, 3 Te 3.12
Te: 0.0000 0.6062 0.0000  7 Tm 2.98-3.17
Ga: 0.5000 0.3912 0.0000  7 Tm 2.96-3.21
Tm: 0.7415 0.3333 0.6667  2 Tm 3.03-3.24, 3 Ga 3.07, 3 Te 3.12
Ga: 0.5000 0.0000 0.3912  7 Tm 2.96-3.21
Ga: 0.5000 0.6088 0.6088  7 Tm 2.96-3.21
Te: 0.0000 0.0000 0.6062  7 Tm 2.98-3.17
Tm: 0.5000 0.7609 0.0000  3 Ga 2.96-3.21
Tm: 0.0000 0.7589 0.7589  3 Te 2.98-3.17
Tm: 0.7415 0.6667 0.3333  2 Tm 3.03-3.24, 3 Ga 3.07, 3 Te 3.12
Tm: 0.5000 0.2391 0.2391  3 Ga 2.96-3.21
Tm: 0.0000 0.2411 0.0000  3 Te 2.98-3.17
Tm: 0.0000 0.0000 0.2411  3 Te 2.98-3.17

**VASP energy**: -74.71 eV/cell
**Theoretical density**: 9.29 g cm⁻³
**Formation energy (no corrections)**: -0.718 eV per atom